Record 1
Entry from Alexandria via LeMat-Bulk: a geometry-optimized LiLaYNi structure (PBE-GGA).

Properties
Formation energy ... -0.08 eV per atom
Total magnetic moment ... 0.001 μB/f.u.

Unit cell a=7.1676 b=7.1676 c=7.1676 alpha=90.00 beta=90.00 gamma=90.00
Closest atoms and distances in Å follow each position.
Space group F-43m (No. 216)
One atom of each set of equivalent atoms:
Li  0.0000  0.0000  0.0000 [4 per cell]  4 La 3.10, 4 Y 3.10
La  0.2500  0.2500  0.7500 [4 per cell]  4 Li 3.10, 4 Ni 3.10
Y  0.2500  0.2500  0.2500 [4 per cell]  4 Li 3.10, 4 Ni 3.10
Ni  0.0000  0.0000  0.5000 [4 per cell]  4 Y 3.10, 4 La 3.10


Record 2
Entry from Alexandria via LeMat-Bulk: a geometry-optimized CuReN2F structure (PBE-GGA).

Properties
Raw formation energy ... 0.2402 eV/atom
Excess energy over the best structure of this formula in the dataset ... 0 meV per atom
Total magnetic moment ... 0.216 μB/f.u.

Unit cell a=3.8670 b=3.8670 c=4.1219 alpha=90.00 beta=90.00 gamma=90.00
Closest atoms and distances in Å follow each position.
Space group P4/mmm (No. 123)
One atom of each set of equivalent atoms:
Cu  0.0000  0.0000  0.0000 [1 per cell]  4 F 2.73, 8 N 2.83
Re  0.5000  0.5000  0.5000 [1 per cell]  4 N 1.93, 2 F 2.06
N  0.0000  0.5000  0.5000 [2 per cell]  2 Re 1.93
F  0.5000  0.5000  0.0000 [1 per cell]  2 Re 2.06


Record 3
Entry from Alexandria via LeMat-Bulk: a geometry-optimized Sr2AcIn3 structure (PBE-GGA).

Properties
Formation energy ... -0.43 eV per atom
Excess energy over the best structure of this formula in the dataset ... 0 meV per atom
Total magnetic moment ... 0.000 μB/f.u.

Unit cell a=5.7807 b=17.3586 c=8.1753 alpha=90.00 beta=90.01 gamma=90.00
Closest atoms and distances in Å follow each position.
Space group C2/m (No. 12)
One atom of each set of equivalent atoms:
Sr  0.0000  0.0000  0.0000 [2 per cell]  8 In 3.50-3.56
Sr  0.0000  0.0000  0.5000 [2 per cell]  8 In 3.57-3.58
Sr  0.0000  0.3330  0.0000 [4 per cell]  8 In 3.51-3.54
Ac  0.0000  0.3378  0.5000 [4 per cell]  8 In 3.51-3.59
In  0.0002  0.1681  0.2488 [8 per cell]  5 Sr 3.51-3.57, 3 Ac 3.55-3.59
In  0.0011  0.5000  0.2432 [4 per cell]  6 Sr 3.50-3.58, 2 Ac 3.51


Record 4
Entry from Alexandria via LeMat-Bulk: a geometry-optimized PrGa2Pt2Rh structure (PBE-GGA).

Properties
Formation energy ... -0.07 eV per atom
Total magnetic moment ... 0.000 μB/f.u.

Unit cell a=3.9223 b=3.9223 c=19.2651 alpha=90.00 beta=90.00 gamma=90.00
Closest atoms and distances in Å follow each position.
Space group I4/mmm (No. 139)
One atom of each set of equivalent atoms:
Pr  0.0000  0.0000  0.0000 [2 per cell]  4 Rh 2.77
Ga  0.0000  0.0000  0.1639 [4 per cell]  4 Pt 2.57
Pt  0.0000  0.5000  0.2500 [4 per cell]  4 Ga 2.57, 4 Pt 2.77
Rh  0.0000  0.0000  0.5000 [2 per cell]  4 Pr 2.77


Listing N(E_F) for the structures above in their given order: 0.77; 0.51; 0.59; 0.84 states/eV/atom.